Entry 1:
Density functional theory data (PBE) for a geometry-optimized TbGdInCu structure.

POSCAR file:
```
TbGdInCu
1.0
0.000 3.677 3.677
3.677 0.000 3.677
3.677 3.677 0.000
Tb Gd In Cu
1 1 1 1
Cartesian
0.000 0.000 0.000
3.677 3.677 3.677
5.515 5.515 5.515
1.838 1.838 1.838
```

## Properties
Energy of formation from the pure elements in meV/atom: -306



Entry 2:
Density functional theory data (PBE) for a geometry-optimized GdThInCu structure.

POSCAR file:
```
GdThInCu
1.0
0.000 3.723 3.723
3.723 0.000 3.723
3.723 3.723 0.000
Gd Th In Cu
1 1 1 1
Cartesian
0.000 0.000 0.000
3.723 3.723 3.723
5.585 5.585 5.585
1.862 1.862 1.862
```

## Properties
Energy of formation from the pure elements in meV/atom: -177



Entry 3:
Density functional theory data (PBE) for a geometry-optimized GdTmInCu structure.

POSCAR file:
```
GdTmInCu
1.0
0.000 3.644 3.644
3.644 0.000 3.644
3.644 3.644 0.000
Gd Tm In Cu
1 1 1 1
Cartesian
0.000 0.000 0.000
3.644 3.644 3.644
1.822 1.822 1.822
5.467 5.467 5.467
```

## Properties
Energy of formation from the pure elements in meV/atom: -308



Entry 4:
Density functional theory data (PBE) for a geometry-optimized GdZnInCu structure.

POSCAR file:
```
GdZnInCu
1.0
0.000 3.397 3.397
3.397 0.000 3.397
3.397 3.397 0.000
Gd Zn In Cu
1 1 1 1
Cartesian
0.000 0.000 0.000
1.698 1.698 1.698
3.397 3.397 3.397
5.095 5.095 5.095
```

## Properties
Energy of formation from the pure elements in meV/atom: -318



Entry 5:
Density functional theory data (PBE) for a geometry-optimized LiGdCuIr structure.

POSCAR file:
```
LiGdCuIr
1.0
0.000 3.204 3.204
3.204 0.000 3.204
3.204 3.204 0.000
Li Gd Cu Ir
1 1 1 1
Cartesian
0.000 0.000 0.000
1.602 1.602 1.602
3.204 3.204 3.204
4.805 4.805 4.805
```

## Properties
Energy of formation from the pure elements in meV/atom: -225



Entry 6:
Density functional theory data (PBE) for a geometry-optimized GdLuCuIr structure.

POSCAR file:
```
GdLuCuIr
1.0
0.000 3.428 3.428
3.428 0.000 3.428
3.428 3.428 0.000
Gd Lu Cu Ir
1 1 1 1
Cartesian
0.000 0.000 0.000
3.428 3.428 3.428
1.714 1.714 1.714
5.142 5.142 5.142
```

## Properties
Energy of formation from the pure elements in meV/atom: -599



> What is the energy of formation from the pure elements in the third record?

-308 meV/atom



> Which formula does entry 4 have?

GdZnInCu



Copy entry 1 word for word.
Density functional theory data (PBE) for a geometry-optimized TbGdInCu structure.

POSCAR file:
```
TbGdInCu
1.0
0.000 3.677 3.677
3.677 0.000 3.677
3.677 3.677 0.000
Tb Gd In Cu
1 1 1 1
Cartesian
0.000 0.000 0.000
3.677 3.677 3.677
5.515 5.515 5.515
1.838 1.838 1.838
```

## Properties
Energy of formation from the pure elements in meV/atom: -306



> energy of formation from the pure elements of number 1 (TbGdInCu)?

-306 meV/atom